Pm3Pr8Ho2 (PBE, relaxed); calculated total energy = -4.5382 eV per atom; distance to the lowest polymorph of the same formula = 52 meV/atom; energy of formation = 2.646 eV per formula unit; size of the total moment = 0.000 μB/f.u.
1.0
5.807 0.000 0.779
0.000 7.775 0.000
-1.376 -3.887 10.219
Ho Pr Pm
2 8 3
direct
0.501 0.759 0.518
0.499 0.241 0.482
0.500 0.400 0.215
0.001 0.866 0.732
0.001 0.675 0.350
0.500 0.600 0.785
0.999 0.134 0.268
0.500 0.815 0.215
0.500 0.185 0.785
0.999 0.325 0.650
0.000 0.714 0.000
0.500 0.000 0.000
0.000 0.286 0.000

---

Sm11Dy9Tm4 (PBE, relaxed); calculated total energy = -4.5812 eV per atom; energy of formation = 1.267 eV per formula unit; size of the total moment = 0.005 μB/f.u.
1.0
-0.519 3.231 -1.570
8.027 -4.634 -12.192
-14.979 -2.970 -1.159
Sm Tm Dy
11 4 9
direct
0.000 0.631 0.369
0.000 0.839 0.161
0.000 0.405 0.043
0.000 0.043 0.405
0.000 0.369 0.631
0.000 0.957 0.595
0.000 0.707 0.707
0.000 0.161 0.839
0.000 0.595 0.957
0.000 0.000 0.000
0.000 0.293 0.293
0.500 0.241 0.445
0.500 0.555 0.759
0.500 0.759 0.555
0.500 0.445 0.241
0.500 0.500 0.500
0.500 0.630 0.166
0.500 0.166 0.630
0.500 0.069 0.214
0.500 0.370 0.834
0.500 0.786 0.931
0.500 0.931 0.786
0.500 0.214 0.069
0.500 0.834 0.370

---

PrNpPd6 (PBE, relaxed); calculated total energy = -6.7165 eV per atom; energy of formation = -4.855 eV per formula unit; size of the total moment = 2.996 μB/f.u.
1.0
4.178 0.000 0.000
0.000 4.178 0.000
0.000 0.000 8.352
Np Pd Pr
1 6 1
direct
0.000 0.000 0.500
0.500 0.000 0.260
0.000 0.500 0.260
0.500 0.000 0.740
0.500 0.500 0.500
0.500 0.500 0.000
0.000 0.500 0.740
0.000 0.000 0.000

---

La3SnO (PBE, relaxed); calculated total energy = -5.9313 eV per atom; energy relative to the elements, uncorrected = -1.18 eV/atom; size of the total moment = 0.000 μB/f.u.
1.0
-2.602 -1.251 -2.366
2.529 -5.837 0.304
-3.481 -2.063 4.918
La O Sn
3 1 1
direct
0.000 0.404 0.596
0.500 0.910 0.443
0.500 0.557 0.090
0.000 0.683 0.317
0.500 0.075 0.925

---

Sm5Ho3Bi8 (PBE, relaxed); calculated total energy = -5.1630 eV per atom; energy of formation = -14.231 eV per formula unit; size of the total moment = 0.000 μB/f.u.
1.0
7.850 0.000 4.497
2.637 7.394 4.497
0.033 0.023 9.044
Bi Sm Ho
8 5 3
direct
0.250 0.754 0.746
0.248 0.248 0.257
0.246 0.750 0.254
0.754 0.250 0.746
0.752 0.752 0.743
0.250 0.250 0.746
0.750 0.246 0.254
0.750 0.750 0.254
0.500 0.500 0.500
0.500 0.000 0.000
0.000 0.500 0.000
0.000 0.000 0.000
0.500 0.500 0.000
0.500 0.000 0.500
0.000 0.500 0.500
0.000 0.000 0.500

---

Na3TlMo (PBE, relaxed); calculated total energy = -2.2955 eV per atom; distance to the lowest polymorph of the same formula = 0 meV/atom; energy of formation = 5.677 eV per formula unit; size of the total moment = 4.680 μB/f.u.
1.0
5.755 0.000 0.000
0.000 5.755 0.000
0.000 0.000 5.755
Na Tl Mo
3 1 1
direct
0.500 0.000 0.000
0.000 0.000 0.500
0.000 0.500 0.000
0.000 0.000 0.000
0.500 0.500 0.500

---

Li2AgSb2 (PBE, relaxed); calculated total energy = -3.2349 eV per atom; distance to the lowest polymorph of the same formula = 38 meV/atom; energy relative to the elements, uncorrected = -0.25 eV/atom; size of the total moment = 0.000 μB/f.u.
1.0
-0.829 -7.936 -1.338
6.769 -1.415 4.200
-1.745 -0.276 2.718
Li Ag Sb
4 2 4
direct
0.119 0.619 0.500
0.619 0.881 0.500
0.381 0.119 0.500
0.881 0.381 0.500
0.000 0.000 0.000
0.500 0.500 0.000
0.679 0.179 0.000
0.821 0.679 0.000
0.179 0.321 0.000
0.321 0.821 0.000

---

Fe (PBE, relaxed); calculated total energy = -6.8116 eV per atom; distance to the lowest polymorph of the same formula = 1651 meV/atom; energy of formation = 1.651 eV per formula unit; size of the total moment = 0.115 μB/f.u.
1.0
6.676 0.000 0.000
0.000 6.676 0.000
0.000 0.000 6.676
Fe
16
direct
0.160 0.840 0.160
0.840 0.840 0.840
0.160 0.160 0.840
0.340 0.660 0.340
0.340 0.340 0.340
0.840 0.160 0.840
0.340 0.340 0.660
0.660 0.660 0.340
0.660 0.660 0.660
0.660 0.340 0.340
0.660 0.340 0.660
0.840 0.840 0.160
0.160 0.840 0.840
0.840 0.160 0.160
0.340 0.660 0.660
0.160 0.160 0.160

---

Tc4RhSe (PBE, relaxed); calculated total energy = -8.0728 eV per atom; energy relative to the elements, uncorrected = 0.64 eV/atom; size of the total moment = 0.000 μB/f.u.
1.0
4.658 -1.434 -1.644
2.960 -2.994 2.954
0.861 -4.890 -1.342
Tc Rh Se
4 1 1
direct
0.376 0.871 0.376
0.871 0.376 0.376
0.376 0.376 0.871
0.376 0.376 0.376
0.750 0.750 0.750
0.000 0.000 0.000

---

CaAc2LaSm (PBE, relaxed); calculated total energy = -3.7590 eV per atom; energy of formation = 1.070 eV per formula unit; size of the total moment = 0.000 μB/f.u.
1.0
6.596 0.000 0.000
0.000 9.342 1.880
0.000 -1.329 6.535
Ac La Sm Ca
4 2 2 2
direct
0.744 0.298 0.749
0.744 0.702 0.751
0.256 0.702 0.251
0.256 0.298 0.249
0.429 0.000 0.750
0.571 0.000 0.250
0.000 0.000 0.000
0.000 0.000 0.500
0.757 0.500 0.250
0.243 0.500 0.750

---

Na3VSb (PBE, relaxed); calculated total energy = -2.5072 eV per atom; distance to the lowest polymorph of the same formula = 252 meV/atom; energy relative to the elements, uncorrected = 0.93 eV/atom; size of the total moment = 4.267 μB/f.u.
1.0
-0.242 -4.425 3.260
2.065 -3.097 -4.051
5.093 1.046 1.797
Na Sb V
3 1 1
direct
0.000 0.000 0.500
0.500 0.000 0.000
0.000 0.500 0.000
0.500 0.500 0.500
0.000 0.000 0.000

---

Sn2Pd8Pb3 (PBE, relaxed); calculated total energy = -4.8521 eV per atom; energy of formation = -2.404 eV per formula unit; size of the total moment = 0.000 μB/f.u.
1.0
-1.462 -5.069 -1.636
3.677 -4.119 0.153
-2.075 -5.232 8.743
Pb Pd Sn
3 8 2
direct
0.810 0.810 0.570
0.000 0.000 0.000
0.190 0.190 0.430
0.271 0.777 0.680
0.729 0.223 0.320
0.271 0.271 0.680
0.223 0.729 0.320
0.777 0.271 0.680
0.719 0.719 0.843
0.729 0.729 0.320
0.281 0.281 0.157
0.369 0.369 0.894
0.631 0.631 0.106